Record 1
Below is a relaxed structure of Tb8Tl2Fe, with properties calculated at the GGA-PBE level.

**Energy of formation**: -0.11 eV per atom
**Total moment**: 0.0000 μB/atom
**Relative energy among the computed polymorphs**: 0.000 eV/atom

Geometry as CIF:
```
data_Tb8Tl2Fe
_cell_length_a 17.220
_cell_length_b 5.571
_cell_length_c 6.894
_cell_angle_alpha 90.00
_cell_angle_beta 112.86
_cell_angle_gamma 90.00
_symmetry_space_group_name_H-M 'C 1 2/m 1'
_symmetry_Int_Tables_number 12
loop_
_symmetry_equiv_pos_as_xyz
'x,y,z'
'-x,-y,-z'
'-x,y,-z'
'x,-y,z'
'x+1/2,y+1/2,z'
'-x+1/2,-y+1/2,-z'
'-x+1/2,y+1/2,-z'
'x+1/2,-y+1/2,z'
loop_
_atom_site_label
_atom_site_type_symbol
_atom_site_fract_x
_atom_site_fract_y
_atom_site_fract_z
Tb1 Tb 0.006 0.000 0.266
Tb2 Tb 0.106 0.500 0.891
Tb3 Tb 0.131 0.500 0.394
Tb4 Tb 0.196 0.000 0.731
Tl1 Tl 0.184 0.000 0.190
Fe1 Fe 0.000 0.500 0.500
```

***

Record 2
Below is a relaxed structure of CaAl2Au4, with properties calculated at the GGA-PBE level.

**Energy of formation**: -0.54 eV per atom
**Total moment**: 0.0000 μB/atom
**Relative energy among the computed polymorphs**: 0.010 eV/atom

Geometry as CIF:
```
data_CaAl2Au4
_cell_length_a 17.494
_cell_length_b 4.540
_cell_length_c 6.860
_cell_angle_alpha 90.00
_cell_angle_beta 90.00
_cell_angle_gamma 90.00
_symmetry_space_group_name_H-M 'P n m a'
_symmetry_Int_Tables_number 62
loop_
_symmetry_equiv_pos_as_xyz
'x,y,z'
'-x,-y,-z'
'-x+1/2,-y,z+1/2'
'x+1/2,y,-z+1/2'
'x+1/2,-y+1/2,-z+1/2'
'-x+1/2,y+1/2,z+1/2'
'-x,y+1/2,-z'
'x,-y+1/2,z'
loop_
_atom_site_label
_atom_site_type_symbol
_atom_site_fract_x
_atom_site_fract_y
_atom_site_fract_z
Ca1 Ca 0.142 0.250 0.016
Al1 Al 0.035 0.750 0.261
Al2 Al 0.215 0.250 0.535
Au1 Au 0.032 0.750 0.873
Au2 Au 0.071 0.250 0.471
Au3 Au 0.184 0.750 0.317
Au4 Au 0.195 0.750 0.740
```

***

Record 3
Below is a relaxed structure of TbCoP2Rh2, with properties calculated at the GGA-PBE level.

**Energy of formation**: -0.47 eV per atom
**Total moment**: 0.0000 μB/atom

Geometry as CIF:
```
data_TbCoP2Rh2
_cell_length_a 4.242
_cell_length_b 4.242
_cell_length_c 5.407
_cell_angle_alpha 90.00
_cell_angle_beta 90.00
_cell_angle_gamma 90.00
_symmetry_space_group_name_H-M 'P 4/m m m'
_symmetry_Int_Tables_number 123
_symmetry_space_group_name_Hall '-P 4 2'
loop_
_atom_site_label
_atom_site_type_symbol
_atom_site_fract_x
_atom_site_fract_y
_atom_site_fract_z
Tb1 Tb 0.000 0.000 0.000
Co1 Co 0.000 0.000 0.500
P1 P 0.000 0.500 0.500
Rh1 Rh 0.500 0.500 0.249
```

***

Record 4
Below is a relaxed structure of La4RhNCl2, with properties calculated at the GGA-PBE level.

**Formation energy without anion corrections**: -10.78 eV/f.u.
**Total moment**: 0.0000 μB/atom

Geometry as CIF:
```
data_La4RhNCl2
_cell_length_a 7.045
_cell_length_b 3.878
_cell_length_c 7.740
_cell_angle_alpha 90.00
_cell_angle_beta 107.57
_cell_angle_gamma 90.00
_symmetry_space_group_name_H-M 'P 1 2/m 1'
_symmetry_Int_Tables_number 10
loop_
_symmetry_equiv_pos_as_xyz
'x,y,z'
'-x,-y,-z'
'-x,y,-z'
'x,-y,z'
loop_
_atom_site_label
_atom_site_type_symbol
_atom_site_fract_x
_atom_site_fract_y
_atom_site_fract_z
La1 La 0.206 0.000 0.197
La2 La 0.240 0.500 0.796
Rh1 Rh 0.500 0.000 0.000
N1 N 0.000 0.500 0.000
Cl1 Cl 0.000 0.000 0.500
Cl2 Cl 0.500 0.500 0.500
```

***

Record 5
Below is a relaxed structure of Hf2CrFe, with properties calculated at the GGA-PBE level.

**Energy of formation**: 0.49 eV per atom
**Total moment**: 0.7393 μB/atom

Geometry as CIF:
```
data_Hf2CrFe
_cell_length_a 7.000
_cell_length_b 7.000
_cell_length_c 5.781
_cell_angle_alpha 90.00
_cell_angle_beta 90.00
_cell_angle_gamma 90.00
_symmetry_space_group_name_H-M 'I -4 2 d'
_symmetry_Int_Tables_number 122
_symmetry_space_group_name_Hall 'I -4 2bw'
loop_
_atom_site_label
_atom_site_type_symbol
_atom_site_fract_x
_atom_site_fract_y
_atom_site_fract_z
Hf1 Hf 0.219 0.250 0.125
Cr1 Cr 0.000 0.000 0.500
Fe1 Fe 0.000 0.000 0.000
```

***

Record 6
Below is a relaxed structure of YTm2Pb3, with properties calculated at the GGA-PBE level.

**Energy of formation**: -0.42 eV per atom
**Total moment**: 0.0000 μB/atom
**Relative energy among the computed polymorphs**: 0.000 eV/atom

Geometry as CIF:
```
data_YTm2Pb3
_cell_length_a 6.369
_cell_length_b 7.656
_cell_length_c 8.239
_cell_angle_alpha 69.34
_cell_angle_beta 71.34
_cell_angle_gamma 70.52
_symmetry_space_group_name_H-M 'P -1'
_symmetry_Int_Tables_number 2
loop_
_symmetry_equiv_pos_as_xyz
'x,y,z'
'-x,-y,-z'
loop_
_atom_site_label
_atom_site_type_symbol
_atom_site_fract_x
_atom_site_fract_y
_atom_site_fract_z
Y1 Y 0.029 0.218 0.039
Tm1 Tm 0.316 0.449 0.291
Tm2 Tm 0.377 0.884 0.369
Pb1 Pb 0.114 0.137 0.637
Pb2 Pb 0.201 0.539 0.681
Pb3 Pb 0.456 0.800 0.979
```

***

Record 7
Below is a relaxed structure of CdSi2Au, with properties calculated at the GGA-PBE level.

**Formation energy without anion corrections**: 1.58 eV/f.u.
**Total moment**: 0.0000 μB/atom

Geometry as CIF:
```
data_CdSi2Au
_cell_length_a 4.229
_cell_length_b 4.229
_cell_length_c 8.156
_cell_angle_alpha 90.00
_cell_angle_beta 90.00
_cell_angle_gamma 90.00
_symmetry_space_group_name_H-M 'I 4/m m m'
_symmetry_Int_Tables_number 139
_symmetry_space_group_name_Hall '-I 4 2'
loop_
_atom_site_label
_atom_site_type_symbol
_atom_site_fract_x
_atom_site_fract_y
_atom_site_fract_z
Cd1 Cd 0.000 0.000 0.000
Si1 Si 0.000 0.500 0.250
Au1 Au 0.000 0.000 0.500
```

***

Record 8
Below is a relaxed structure of ErHfTlHg, with properties calculated at the GGA-PBE level.

**Energy of formation**: -0.09 eV per atom
**Total moment**: 0.0011 μB/atom

Geometry as CIF:
```
data_ErHfTlHg
_cell_length_a 7.237
_cell_length_b 7.237
_cell_length_c 7.237
_cell_angle_alpha 90.00
_cell_angle_beta 90.00
_cell_angle_gamma 90.00
_symmetry_space_group_name_H-M 'F -4 3 m'
_symmetry_Int_Tables_number 216
_symmetry_space_group_name_Hall 'F -4 2 3'
loop_
_atom_site_label
_atom_site_type_symbol
_atom_site_fract_x
_atom_site_fract_y
_atom_site_fract_z
Er1 Er 0.000 0.000 0.000
Hf1 Hf 0.000 0.000 0.500
Tl1 Tl 0.250 0.250 0.250
Hg1 Hg 0.250 0.250 0.750
```

***

Record 9
Below is a relaxed structure of LaNd2Rh, with properties calculated at the GGA-PBE level.

**Energy of formation**: -0.44 eV per atom
**Total moment**: 0.0000 μB/atom
**Relative energy among the computed polymorphs**: 0.000 eV/atom

Geometry as CIF:
```
data_LaNd2Rh
_cell_length_a 7.356
_cell_length_b 10.047
_cell_length_c 6.568
_cell_angle_alpha 90.00
_cell_angle_beta 90.00
_cell_angle_gamma 90.00
_symmetry_space_group_name_H-M 'P n m a'
_symmetry_Int_Tables_number 62
loop_
_symmetry_equiv_pos_as_xyz
'x,y,z'
'-x,-y,-z'
'-x+1/2,-y,z+1/2'
'x+1/2,y,-z+1/2'
'x+1/2,-y+1/2,-z+1/2'
'-x+1/2,y+1/2,z+1/2'
'-x,y+1/2,-z'
'x,-y+1/2,z'
loop_
_atom_site_label
_atom_site_type_symbol
_atom_site_fract_x
_atom_site_fract_y
_atom_site_fract_z
La1 La 0.041 0.250 0.146
Nd1 Nd 0.174 0.067 0.669
Rh1 Rh 0.125 0.750 0.441
```

***

Record 10
Below is a relaxed structure of TlBRh3, with properties calculated at the GGA-PBE level.

**Energy of formation**: 0.25 eV per atom
**Total moment**: 0.0000 μB/atom

Geometry as CIF:
```
data_TlBRh3
_cell_length_a 4.4294
_cell_length_b 4.4294
_cell_length_c 8.5004
_cell_angle_alpha 90.00
_cell_angle_beta 90.00
_cell_angle_gamma 120.00
_symmetry_space_group_name_H-M 'P 63/m m c'
_symmetry_Int_Tables_number 194
_symmetry_space_group_name_Hall '-P 6c 2c'
loop_
_atom_site_label
_atom_site_type_symbol
_atom_site_fract_x
_atom_site_fract_y
_atom_site_fract_z
Tl1 Tl 0.3333 0.6667 0.2500
B1 B 0.0000 0.0000 0.0000
Rh1 Rh 0.0000 0.0000 0.2500
Rh2 Rh 0.3333 0.6667 0.5725
```

***

Record 11
Below is a relaxed structure of MgTaPt5, with properties calculated at the GGA-PBE level.

**Energy of formation**: -0.60 eV per atom
**Total moment**: 0.0000 μB/atom

Geometry as CIF:
```
data_MgTaPt5
_cell_length_a 3.988
_cell_length_b 3.988
_cell_length_c 7.505
_cell_angle_alpha 90.00
_cell_angle_beta 90.00
_cell_angle_gamma 90.00
_symmetry_space_group_name_H-M 'P 4/m m m'
_symmetry_Int_Tables_number 123
_symmetry_space_group_name_Hall '-P 4 2'
loop_
_atom_site_label
_atom_site_type_symbol
_atom_site_fract_x
_atom_site_fract_y
_atom_site_fract_z
Mg1 Mg 0.000 0.000 0.000
Ta1 Ta 0.500 0.500 0.500
Pt1 Pt 0.000 0.000 0.500
Pt2 Pt 0.000 0.500 0.243
```

***

Record 12
Below is a relaxed structure of TePd9Pb2, with properties calculated at the GGA-PBE level.

**Formation energy without anion corrections**: -2.94 eV/f.u.
**Total moment**: 0.0000 μB/atom

Geometry as CIF:
```
data_TePd9Pb2
_cell_length_a 4.112
_cell_length_b 4.112
_cell_length_c 12.244
_cell_angle_alpha 90.00
_cell_angle_beta 90.00
_cell_angle_gamma 90.00
_symmetry_space_group_name_H-M 'P 4/m m m'
_symmetry_Int_Tables_number 123
_symmetry_space_group_name_Hall '-P 4 2'
loop_
_atom_site_label
_atom_site_type_symbol
_atom_site_fract_x
_atom_site_fract_y
_atom_site_fract_z
Te1 Te 0.000 0.000 0.000
Pd1 Pd 0.000 0.500 0.165
Pd2 Pd 0.000 0.500 0.500
Pd3 Pd 0.500 0.500 0.000
Pd4 Pd 0.500 0.500 0.332
Pb1 Pb 0.000 0.000 0.333
```

***

Record 13
Below is a relaxed structure of AlTlHg, with properties calculated at the GGA-PBE level.

**Energy of formation**: 0.16 eV per atom
**Total moment**: 0.0000 μB/atom

Geometry as CIF:
```
data_AlTlHg
_cell_length_a 4.7314
_cell_length_b 4.7314
_cell_length_c 3.9759
_cell_angle_alpha 90.00
_cell_angle_beta 90.00
_cell_angle_gamma 120.00
_symmetry_space_group_name_H-M 'P 3 m 1'
_symmetry_Int_Tables_number 156
loop_
_symmetry_equiv_pos_as_xyz
'x,y,z'
'-y,x-y,z'
'-x+y,-x,z'
'-y,-x,z'
'-x+y,y,z'
'x,x-y,z'
loop_
_atom_site_label
_atom_site_type_symbol
_atom_site_fract_x
_atom_site_fract_y
_atom_site_fract_z
Al1 Al 0.0000 0.0000 0.0000
Tl1 Tl 0.3333 0.6667 0.5011
Hg1 Hg 0.6667 0.3333 0.0026
```

***

Record 14
Below is a relaxed structure of Pm6Rh3Au, with properties calculated at the GGA-PBE level.

**Energy of formation**: -0.54 eV per atom
**Total moment**: 0.0000 μB/atom
**Relative energy among the computed polymorphs**: 0.069 eV/atom

Geometry as CIF:
```
data_Pm6Rh3Au
_cell_length_a 10.982
_cell_length_b 14.211
_cell_length_c 7.253
_cell_angle_alpha 90.00
_cell_angle_beta 90.00
_cell_angle_gamma 90.00
_symmetry_space_group_name_H-M 'C m c 21'
_symmetry_Int_Tables_number 36
loop_
_symmetry_equiv_pos_as_xyz
'x,y,z'
'-x,-y,z+1/2'
'-x,y,z'
'x,-y,z+1/2'
'x+1/2,y+1/2,z'
'-x+1/2,-y+1/2,z+1/2'
'-x+1/2,y+1/2,z'
'x+1/2,-y+1/2,z+1/2'
loop_
_atom_site_label
_atom_site_type_symbol
_atom_site_fract_x
_atom_site_fract_y
_atom_site_fract_z
Pm1 Pm 0.000 0.012 0.000
Pm2 Pm 0.000 0.231 0.655
Pm3 Pm 0.169 0.469 0.606
Pm4 Pm 0.176 0.279 0.052
Rh1 Rh 0.000 0.401 0.884
Rh2 Rh 0.184 0.111 0.801
Au1 Au 0.000 0.167 0.272
```

***

Record 15
Below is a relaxed structure of VIn3Br, with properties calculated at the GGA-PBE level.

**Formation energy without anion corrections**: 1.15 eV/f.u.
**Total moment**: 0.9605 μB/atom
**Relative energy among the computed polymorphs**: 0.000 eV/atom

Geometry as CIF:
```
data_VIn3Br
_cell_length_a 5.437
_cell_length_b 5.437
_cell_length_c 5.437
_cell_angle_alpha 90.00
_cell_angle_beta 90.00
_cell_angle_gamma 90.00
_symmetry_space_group_name_H-M 'P m -3 m'
_symmetry_Int_Tables_number 221
_symmetry_space_group_name_Hall '-P 4 2 3'
loop_
_atom_site_label
_atom_site_type_symbol
_atom_site_fract_x
_atom_site_fract_y
_atom_site_fract_z
V1 V 0.000 0.000 0.000
In1 In 0.000 0.000 0.500
Br1 Br 0.500 0.500 0.500
```

***

Record 16
Below is a relaxed structure of Sb2Se3I, with properties calculated at the GGA-PBE level.

**Formation energy without anion corrections**: 0.00 eV/f.u.
**Total moment**: 0.0000 μB/atom
**Relative energy among the computed polymorphs**: 0.156 eV/atom

Geometry as CIF:
```
data_Sb2Se3I
_cell_length_a 8.029
_cell_length_b 12.092
_cell_length_c 7.430
_cell_angle_alpha 90.00
_cell_angle_beta 90.11
_cell_angle_gamma 90.00
_symmetry_space_group_name_H-M 'C 1 2/m 1'
_symmetry_Int_Tables_number 12
loop_
_symmetry_equiv_pos_as_xyz
'x,y,z'
'-x,-y,-z'
'-x,y,-z'
'x,-y,z'
'x+1/2,y+1/2,z'
'-x+1/2,-y+1/2,-z'
'-x+1/2,y+1/2,-z'
'x+1/2,-y+1/2,z'
loop_
_atom_site_label
_atom_site_type_symbol
_atom_site_fract_x
_atom_site_fract_y
_atom_site_fract_z
Sb1 Sb 0.000 0.189 0.000
Sb2 Sb 0.000 0.199 0.500
Se1 Se 0.070 0.000 0.246
Se2 Se 0.221 0.312 0.252
I1 I 0.105 0.500 0.751
```

***

Record 17
Below is a relaxed structure of CuTe2Au, with properties calculated at the GGA-PBE level.

**Formation energy without anion corrections**: 1.43 eV/f.u.
**Total moment**: 0.0000 μB/atom

Geometry as CIF:
```
data_CuTe2Au
_cell_length_a 5.887
_cell_length_b 7.756
_cell_length_c 3.961
_cell_angle_alpha 90.00
_cell_angle_beta 90.00
_cell_angle_gamma 90.00
_symmetry_space_group_name_H-M 'C m m m'
_symmetry_Int_Tables_number 65
_symmetry_space_group_name_Hall '-C 2 2'
loop_
_atom_site_label
_atom_site_type_symbol
_atom_site_fract_x
_atom_site_fract_y
_atom_site_fract_z
Cu1 Cu 0.000 0.000 0.000
Te1 Te 0.250 0.250 0.500
Au1 Au 0.000 0.500 0.000
```

***

Record 18
Below is a relaxed structure of AcHoMg6, with properties calculated at the GGA-PBE level.

**Energy of formation**: -0.04 eV per atom
**Total moment**: 0.0000 μB/atom

Geometry as CIF:
```
data_AcHoMg6
_cell_length_a 5.185
_cell_length_b 7.498
_cell_length_c 11.285
_cell_angle_alpha 90.00
_cell_angle_beta 90.00
_cell_angle_gamma 90.00
_symmetry_space_group_name_H-M 'A m m 2'
_symmetry_Int_Tables_number 38
loop_
_symmetry_equiv_pos_as_xyz
'x,y,z'
'-x,-y,z'
'-x,y,z'
'x,-y,z'
'x,y+1/2,z+1/2'
'-x,-y+1/2,z+1/2'
'-x,y+1/2,z+1/2'
'x,-y+1/2,z+1/2'
loop_
_atom_site_label
_atom_site_type_symbol
_atom_site_fract_x
_atom_site_fract_y
_atom_site_fract_z
Ac1 Ac 0.000 0.000 0.000
Ho1 Ho 0.500 0.000 0.267
Mg1 Mg 0.000 0.000 0.454
Mg2 Mg 0.000 0.212 0.730
Mg3 Mg 0.500 0.000 0.795
Mg4 Mg 0.500 0.205 0.535
```

***

Record 19
Below is a relaxed structure of ScInPd5, with properties calculated at the GGA-PBE level.

**Energy of formation**: -0.46 eV per atom
**Total moment**: 0.0000 μB/atom

Geometry as CIF:
```
data_ScInPd5
_cell_length_a 4.068
_cell_length_b 4.068
_cell_length_c 7.526
_cell_angle_alpha 90.00
_cell_angle_beta 90.00
_cell_angle_gamma 90.00
_symmetry_space_group_name_H-M 'P 4/m m m'
_symmetry_Int_Tables_number 123
_symmetry_space_group_name_Hall '-P 4 2'
loop_
_atom_site_label
_atom_site_type_symbol
_atom_site_fract_x
_atom_site_fract_y
_atom_site_fract_z
Sc1 Sc 0.000 0.000 0.000
In1 In 0.500 0.500 0.500
Pd1 Pd 0.000 0.000 0.500
Pd2 Pd 0.000 0.500 0.233
```

***

Record 20
Below is a relaxed structure of Au2SeBr, with properties calculated at the GGA-PBE level.

**Formation energy without anion corrections**: 0.35 eV/f.u.
**Total moment**: 0.0661 μB/atom
**Relative energy among the computed polymorphs**: 0.073 eV/atom

Geometry as CIF:
```
data_Au2SeBr
_cell_length_a 4.113
_cell_length_b 7.821
_cell_length_c 7.927
_cell_angle_alpha 90.00
_cell_angle_beta 90.00
_cell_angle_gamma 90.00
_symmetry_space_group_name_H-M 'C m m 2'
_symmetry_Int_Tables_number 35
loop_
_symmetry_equiv_pos_as_xyz
'x,y,z'
'-x,-y,z'
'-x,y,z'
'x,-y,z'
'x+1/2,y+1/2,z'
'-x+1/2,-y+1/2,z'
'-x+1/2,y+1/2,z'
'x+1/2,-y+1/2,z'
loop_
_atom_site_label
_atom_site_type_symbol
_atom_site_fract_x
_atom_site_fract_y
_atom_site_fract_z
Au1 Au 0.000 0.000 0.000
Au2 Au 0.000 0.500 0.219
Se1 Se 0.000 0.500 0.839
Br1 Br 0.000 0.000 0.419
```